Version one
Compound: BeVRh3
Source: Alexandria via LeMat-Bulk
Functional: PBE
Structure: relaxed

Cell lengths 4.085, 4.085, 4.085 Å; angles 90.00, 90.00, 90.00 degrees
Positions (direct):
Be 0.000 0.000 0.000
V 0.500 0.500 0.500
Rh 0.000 0.000 0.500
Rh 0.000 0.500 0.000
Rh 0.500 0.000 0.000

spin magnetization = 0.072 μB per atom
DOS(E_F) = 6.5 states/eV/cell
space-group type = No. 221

=====

Version two
Compound: BeVRh3
Source: Alexandria via LeMat-Bulk
Functional: PBE
Structure: relaxed

Cell lengths 4.440, 4.440, 4.440 Å; angles 90.00, 90.00, 90.00 degrees
Positions (direct):
Be 0.000 0.000 0.000
V 0.500 0.500 0.500
Rh 0.000 0.500 0.500
Rh 0.500 0.000 0.500
Rh 0.500 0.500 0.000

spin magnetization = 0.000 μB per atom
DOS(E_F) = 2.2 states/eV/cell
space-group type = No. 221

=====

Most favorable first, least favorable last: version one, version two